*i*
! PBE Pr4Bi3, relaxed; values from VASP
! - DOS at the Fermi energy: 4.87 states/eV per cell
&SYSTEM
  ibrav = 0, nat = 7, ntyp = 2
/
ATOMIC_SPECIES
Pr 140.91 Pr.upf
Bi 208.98 Bi.upf
ATOMIC_POSITIONS crystal
Pr 0.1215 0.1215 0.1215
Pr 0.3653 0.3653 0.3653
Pr 0.6347 0.6347 0.6347
Pr 0.8785 0.8785 0.8785
Bi 0.2611 0.2611 0.2611
Bi 0.5000 0.5000 0.5000
Bi 0.7389 0.7389 0.7389
CELL_PARAMETERS angstrom
2.3862 1.3777 12.8780
-2.3862 1.3777 12.8780
0.0000 -2.7553 12.8780

***

*ii*
! PBE Pr4Bi3, relaxed; values from VASP
! - DOS at the Fermi energy: 16.44 states/eV per cell
&SYSTEM
  ibrav = 0, nat = 14, ntyp = 2
/
ATOMIC_SPECIES
Pr 140.91 Pr.upf
Bi 208.98 Bi.upf
ATOMIC_POSITIONS crystal
Pr 0.0000 0.1422 0.5000
Pr 0.0000 0.6422 0.5000
Pr 0.1422 0.5000 0.0000
Pr 0.3578 0.3578 0.3578
Pr 0.5000 0.0000 0.1422
Pr 0.5000 0.0000 0.6422
Pr 0.6422 0.5000 0.0000
Pr 0.8578 0.8578 0.8578
Bi 0.1250 0.8750 0.2500
Bi 0.2500 0.1250 0.8750
Bi 0.3750 0.6250 0.7500
Bi 0.6250 0.7500 0.3750
Bi 0.7500 0.3750 0.6250
Bi 0.8750 0.2500 0.1250
CELL_PARAMETERS angstrom
-4.8844 4.8844 4.8844
4.8844 -4.8844 4.8844
4.8844 4.8844 -4.8844

***

What are the relative energies? In meV/atom: *i* 125; *ii* 0.

***

*i*
! PBE PrPuBi2, relaxed; values from VASP
! - DOS at the Fermi energy: 13.09 states/eV per cell
&SYSTEM
  ibrav = 0, nat = 4, ntyp = 3
/
ATOMIC_SPECIES
Pr 140.91 Pr.upf
Pu 244.00 Pu.upf
Bi 208.98 Bi.upf
ATOMIC_POSITIONS crystal
Pr 0.0000 0.0000 0.0000
Pu 0.5000 0.5000 0.5000
Bi 0.2500 0.2500 0.2500
Bi 0.7500 0.7500 0.7500
CELL_PARAMETERS angstrom
0.0000 3.9533 3.9533
3.9533 0.0000 3.9533
3.9533 3.9533 0.0000

***

*ii*
! PBE PrPuBi2, relaxed; values from VASP
! - DOS at the Fermi energy: 11.31 states/eV per cell
&SYSTEM
  ibrav = 0, nat = 4, ntyp = 3
/
ATOMIC_SPECIES
Pr 140.91 Pr.upf
Pu 244.00 Pu.upf
Bi 208.98 Bi.upf
ATOMIC_POSITIONS crystal
Pr 0.0000 0.0000 0.0000
Pu 0.0000 0.0000 0.5000
Bi 0.5000 0.5000 0.2553
Bi 0.5000 0.5000 0.7447
CELL_PARAMETERS angstrom
3.7701 0.0000 0.0000
0.0000 3.7701 0.0000
0.0000 0.0000 8.5625

***

*iii*
! PBE PrPuBi2, relaxed; values from VASP
! - DOS at the Fermi energy: 12.41 states/eV per cell
&SYSTEM
  ibrav = 0, nat = 4, ntyp = 3
/
ATOMIC_SPECIES
Pr 140.91 Pr.upf
Pu 244.00 Pu.upf
Bi 208.98 Bi.upf
ATOMIC_POSITIONS crystal
Pr 0.0000 0.0000 0.0000
Pu 0.5000 0.5000 0.0000
Bi 0.0000 0.5000 0.5000
Bi 0.5000 0.0000 0.5000
CELL_PARAMETERS angstrom
5.9696 0.0000 0.0000
0.0000 5.9696 0.0000
0.0000 0.0000 3.4309

***

What are the relative energies? In meV/atom: *i* 56; *ii* 42; *iii* 0.